No. 1
DFT (PBE-GGA) results for an optimized crystal structure of LiMgCl2.

Summary:
ΔE_f (raw) ... -1011 meV per atom
Offset from the most stable computed form ... 283 meV per atom
ρ ... 2057 kg/m³
Final energy ... -2.812 eV/atom

Lattice parameters (Å, degrees): 4.9133 4.9133 3.4166 90.00 90.00 90.08
Atoms (fractional coordinates):
Li: 0.5000 0.0000 0.5000
Mg: 0.0000 0.5000 0.5000
Cl: 0.5000 0.5000 0.0000
Cl: 0.0000 0.0000 0.0000


No. 2
DFT (PBE-GGA) results for an optimized crystal structure of BaNi2Ru.

Summary:
E_form ... 0.817 eV per atom
Offset from the most stable computed form ... 707 meV per atom
ρ ... 8356 kg/m³
Final energy ... -4.873 eV/atom

Lattice parameters (Å, degrees): 4.8311 4.8296 3.0302 90.00 90.00 90.00
Last column: magnetic moment on the atom in μB.
Atoms (fractional coordinates):
Ni: 0.0000 0.0000 0.0000  0.27
Ru: 0.5000 0.0000 0.5000  0.76
Ba: 0.0000 0.5000 0.5000  -0.03
Ni: 0.5000 0.5000 0.0000  0.27


No. 3
DFT (PBE-GGA) results for an optimized crystal structure of SrDy3Hg4.

Summary:
E_form ... -0.472 eV per atom
ρ ... 10579 kg/m³
Final energy ... -2.559 eV/atom

Lattice parameters (Å, degrees): 5.3236 7.6294 10.6464 90.00 90.00 90.00
Atoms (fractional coordinates):
Sr: 0.0000 0.5000 0.5000
Hg: 0.5000 0.7650 0.0000
Hg: 0.0005 0.2350 0.7500
Hg: 0.9995 0.7650 0.2500
Hg: 0.5000 0.2350 0.0000
Sr: 0.0000 0.5000 0.0000
Dy: 0.5001 0.5000 0.7500
Dy: 0.0000 0.0000 0.5000
Dy: 0.4997 0.0000 0.2500
Hg: 0.5000 0.7650 0.5000
Dy: 0.0000 0.0000 0.0000
Hg: 0.5000 0.2350 0.5000
Dy: 0.5003 0.0000 0.7500
Hg: 0.9995 0.2350 0.2500
Hg: 0.0005 0.7650 0.7500
Dy: 0.4999 0.5000 0.2500


No. 4
DFT (PBE-GGA) results for an optimized crystal structure of YLuZnNi.

Summary:
E_form ... -0.366 eV per atom
ρ ... 7912 kg/m³
Final energy ... -4.876 eV/atom

Lattice parameters (Å, degrees): 4.8652 4.8652 4.8652 60.00 60.00 60.00
Atoms (fractional coordinates):
Y: 0.7500 0.7500 0.7500
Ni: 0.5000 0.5000 0.5000
Zn: 0.0000 0.0000 0.0000
Lu: 0.2500 0.2500 0.2500


No. 5
DFT (PBE-GGA) results for an optimized crystal structure of Na2CeTlSe4.

Summary:
ΔE_f (raw) ... -1106 meV per atom
ρ ... 5348 kg/m³
Final energy ... -4.216 eV/atom

Lattice parameters (Å, degrees): 4.2361 7.4226 7.4066 109.67 90.00 90.00
Last column: magnetic moment on the atom in μB.
Atoms (fractional coordinates):
Se: 0.5000 0.7401 0.7642  0.00
Se: 0.0000 0.2690 0.7645  -0.01
Tl: 0.0000 0.0000 0.0000  0.01
Na: 0.5000 0.0000 0.5000  0.00
Se: 0.0000 0.7310 0.2355  -0.01
Se: 0.5000 0.2599 0.2358  0.00
Ce: 0.5000 0.5000 0.0000  0.28
Na: 0.0000 0.5000 0.5000  0.00


No. 6
DFT (PBE-GGA) results for an optimized crystal structure of AcCeTmPu.

Summary:
E_form ... 0.275 eV per atom
ρ ... 9856 kg/m³
Final energy ... -6.937 eV/atom

Lattice parameters (Å, degrees): 5.7068 5.7068 5.7068 60.00 60.00 60.00
Last column: magnetic moment on the atom in μB.
Atoms (fractional coordinates):
Tm: 0.0000 0.0000 0.0000  0.36
Ce: 0.5000 0.5000 0.5000  1.13
Ac: 0.7500 0.7500 0.7500  0.14
Pu: 0.2500 0.2500 0.2500  5.70